Entry 1:
Material: YNb
Method: DFT, GGA-PBE
State: optimized geometry

The structure in POSCAR format:
```
YNb
1.0
-2.827 1.566 0.095
-1.411 -2.308 -3.959
-1.109 -5.258 3.461
Nb Y
2 2
Cartesian
-4.507 -5.073 0.209
-0.840 -0.928 -0.611
-1.961 -3.557 1.321
-3.386 -2.444 -1.723
```

Computed properties:
- Symmetry: P2_1/m (11)



Entry 2:
Material: Pm2SmGa2Cu2
Method: DFT, GGA-PBE
State: optimized geometry

The structure in POSCAR format:
```
Pm2SmGa2Cu2
1.0
4.433 0.000 0.000
2.217 3.839 0.000
2.217 1.280 9.390
Cu Sm Pm Ga
2 1 2 2
Cartesian
4.433 2.559 1.789
4.433 2.559 7.601
0.000 0.000 0.000
6.650 3.839 3.490
2.217 1.280 5.899
2.217 1.280 1.917
6.650 3.839 7.473
```

Computed properties:
- Symmetry: R-3m (166)



| no. | raw total energy (eV per cell) | calculated formation energy (eV per atom) |
| --- | --- | --- |
| 1 | -32.0 | 0.261 |
| 2 | -31.1 | -0.381 |